This record from Alexandria via LeMat-Bulk describes a geometry-optimized Ac2LaPr3 structure. The functional is PBE-GGA.

Raw total energy ... -4.51 eV/atom
Energy above the most stable polymorph in this dataset ... 0.31 eV per formula unit
SG ... Pnnm (58)

Cell lengths 7.378, 10.494, 6.073 Å; angles 90.00, 90.00, 90.00 degrees
Fractional coordinates of all 12 atoms:
Ac 0.249 0.167 0.000
Ac 0.251 0.667 0.500
Ac 0.749 0.333 0.500
Ac 0.751 0.833 0.000
La 0.000 0.500 0.000
La 0.500 0.000 0.500
Pr 0.000 0.000 0.500
Pr 0.250 0.333 0.500
Pr 0.250 0.833 0.000
Pr 0.500 0.500 0.000
Pr 0.750 0.167 0.000
Pr 0.750 0.667 0.500



This record from Alexandria via LeMat-Bulk describes a geometry-optimized GdEr3Ir structure. The functional is PBE-GGA.

Raw total energy ... -7.63 eV/atom
SG ... Pm-3m (221)

Cell lengths 5.389, 5.389, 5.389 Å; angles 90.00, 90.00, 90.00 degrees
Fractional coordinates of all 5 atoms:
Gd 0.000 0.000 0.000
Er 0.000 0.500 0.500
Er 0.500 0.000 0.500
Er 0.500 0.500 0.000
Ir 0.500 0.500 0.500



This record from Alexandria via LeMat-Bulk describes a geometry-optimized GeSN structure. The functional is PBE-GGA.

Raw total energy ... -5.14 eV/atom
Energy above the most stable polymorph in this dataset ... 1.46 eV per formula unit
ΔE_f (raw) ... 0.551 eV per atom
SG ... P-1 (2)

Cell lengths 3.443, 4.837, 8.124 Å; angles 87.93, 77.83, 89.99 degrees
Fractional coordinates of all 6 atoms:
Ge 0.075 0.353 0.349
Ge 0.925 0.647 0.651
S 0.345 0.778 0.811
S 0.655 0.222 0.189
N 0.041 0.721 0.418
N 0.959 0.279 0.582



This record from Alexandria via LeMat-Bulk describes a geometry-optimized PaSiNiAu structure. The functional is PBE-GGA.

Raw total energy ... -6.19 eV/atom
ΔE_f (raw) ... -0.192 eV per atom
SG ... F-43m (216)

Cell lengths 4.637, 4.637, 4.637 Å; angles 60.00, 60.00, 60.00 degrees
Fractional coordinates of all 4 atoms:
Pa 0.000 0.000 0.000
Si 0.250 0.250 0.250
Ni 0.750 0.750 0.750
Au 0.500 0.500 0.500



This record from Alexandria via LeMat-Bulk describes a geometry-optimized RbNaGe2O structure. The functional is PBE-GGA.

Raw total energy ... -2.80 eV/atom
ΔE_f (raw) ... 0.500 eV per atom
SG ... P4/mmm (123)

Cell lengths 5.394, 5.394, 4.422 Å; angles 90.00, 90.00, 90.00 degrees
Fractional coordinates of all 5 atoms:
Rb 0.000 0.000 0.000
Na 0.500 0.500 0.500
Ge 0.000 0.500 0.500
Ge 0.500 0.000 0.500
O 0.500 0.500 0.000



This record from Alexandria via LeMat-Bulk describes a geometry-optimized Li2ZnIrN structure. The functional is PBE-GGA.

Raw total energy ... -3.18 eV/atom
Energy above the most stable polymorph in this dataset ... 7.66 eV per formula unit
ΔE_f (raw) ... 1.277 eV per atom
SG ... P4/mmm (123)

Cell lengths 4.814, 4.814, 4.787 Å; angles 90.00, 90.00, 90.00 degrees
Fractional coordinates of all 5 atoms:
Li 0.000 0.500 0.000
Li 0.500 0.000 0.000
Zn 0.000 0.000 0.500
Ir 0.000 0.000 0.000
N 0.500 0.500 0.500